Computed, not measured: an optimized crystal structure of Y3Co2Ag at the PBE-GGA level of DFT.

Cell: 3.376 3.376 10.882 Å, 90.00 90.00 90.00°
Each line ends with the local moment (μB).
Element x y z (fractional)
Y 0.000 0.000 0.000  -0.13
Y 0.000 0.000 0.694  -0.10
Y 0.000 0.000 0.306  -0.10
Co 0.500 0.500 0.841  0.71
Co 0.500 0.500 0.159  0.71
Ag 0.500 0.500 0.500  0.00

Calculated values
ΔE_f	-0.202	eV per atom